DFT (GGA-PBE) results for a relaxed Sr4Pd6F19 crystal.

```
Sr4Pd6F19
1.0
-4.763 6.147 -2.741
-4.038 -4.221 5.819
6.942 3.111 3.180
F Pd Sr
19 6 4
Cartesian
0.897 -0.343 2.780
-0.422 4.202 2.478
2.132 2.504 2.498
-2.386 3.335 0.486
0.000 0.000 0.000
-4.780 -0.818 3.601
-6.082 1.331 2.127
2.007 -0.767 6.219
-1.738 -0.443 3.720
-1.173 5.881 -0.719
-5.171 3.879 2.842
-0.386 0.433 7.037
3.712 1.005 4.657
1.706 6.120 3.081
-2.719 0.595 0.951
0.673 2.860 0.136
1.506 6.398 0.303
0.126 1.855 4.530
-2.777 2.267 3.335
0.079 -0.255 4.980
-3.402 0.581 4.634
2.201 2.629 4.650
-1.938 5.291 1.278
1.542 4.456 1.624
-4.061 2.407 1.607
-3.262 4.209 -1.877
-0.586 1.588 1.972
-2.765 -2.891 3.985
4.754 2.131 2.178
```

Summary:
The calculation puts the total moment at 11.0 μB/f.u. Its formation energy from raw total energies is -2.17 eV per atom. Its uncorrected energy is -0.17265 hartree per atom.